(1)
This record from Alexandria describes KAgF3 after structural relaxation. The functional is PBE-GGA.

The total magnetization comes out at 0.00 μB/f.u. As for the density of states at the Fermi level: 0.000 states/eV/cell. The energy is -0.138 hartree per atom. The uncorrected formation energy is -1.829 eV per atom. Its space-group type is P-1, No. 2.

Cell and atoms, written as CIF:
```
data_KAgF3
_chemical_formula_sum 'K2 Ag2 F6'
_symmetry_space_group_name_H-M 'P 1'
_symmetry_Int_Tables_number 1
_symmetry_space_group_name_Hall 'P 1'
_cell_length_a 7.3199
_cell_length_b 3.6008
_cell_length_c 7.4833
_cell_angle_alpha 87.80
_cell_angle_beta 61.07
_cell_angle_gamma 91.62
loop_
_atom_site_label
_atom_site_type_symbol
_atom_site_fract_x
_atom_site_fract_y
_atom_site_fract_z
F1 F 0.3652 0.4854 0.8052
Ag1 Ag 0.3542 0.3997 0.0943
F2 F 0.0270 0.8818 0.7588
F3 F 0.6815 0.9184 0.4300
Ag2 Ag 0.3543 0.9000 0.5944
F4 F 0.6072 0.0603 0.9699
F5 F 0.3436 0.3145 0.3833
F6 F 0.1014 0.7393 0.2187
K1 K 0.8542 0.4003 0.5944
K2 K 0.8540 0.4004 0.0945
```

(2)
This record from Alexandria describes BaZnRe3 after structural relaxation. The functional is PBE-GGA.

The total magnetization comes out at 4.22 μB/f.u. The calculation puts the formation energy at 3.908 eV per atom. As for the density of states at the Fermi level: 7.390 states/eV/cell. The energy is -0.154 hartree per atom. Its space-group type is Pm-3m, No. 221.

Cell and atoms, written as CIF:
```
data_BaZnRe3
_chemical_formula_sum 'Ba1 Zn1 Re3'
_symmetry_space_group_name_H-M 'P 1'
_symmetry_Int_Tables_number 1
_symmetry_space_group_name_Hall 'P 1'
_cell_length_a 5.0407
_cell_length_b 5.0407
_cell_length_c 5.0407
_cell_angle_alpha 90.00
_cell_angle_beta 90.00
_cell_angle_gamma 90.00
loop_
_atom_site_label
_atom_site_type_symbol
_atom_site_fract_x
_atom_site_fract_y
_atom_site_fract_z
Re1 Re 0.0000 0.0000 0.5000
Re2 Re 0.5000 0.0000 0.0000
Ba1 Ba 0.0000 0.0000 0.0000
Zn1 Zn 0.5000 0.5000 0.5000
Re3 Re 0.0000 0.5000 0.0000
```

(3)
This record from Alexandria describes PaTl3Ni2Te6 after structural relaxation. The functional is PBE-GGA.

The total magnetization comes out at 0.00 μB/f.u. As for the density of states at the Fermi level: 5.546 states/eV/cell. The energy is -0.156 hartree per atom. The uncorrected formation energy is -0.323 eV per atom. Its space-group type is C2/m, No. 12.

Cell and atoms, written as CIF:
```
data_PaTl3Ni2Te6
_chemical_formula_sum 'Pa1 Tl3 Ni2 Te6'
_symmetry_space_group_name_H-M 'P 1'
_symmetry_Int_Tables_number 1
_symmetry_space_group_name_Hall 'P 1'
_cell_length_a 6.8002
_cell_length_b 6.8002
_cell_length_c 9.0500
_cell_angle_alpha 97.27
_cell_angle_beta 97.27
_cell_angle_gamma 119.63
loop_
_atom_site_label
_atom_site_type_symbol
_atom_site_fract_x
_atom_site_fract_y
_atom_site_fract_z
Te1 Te 0.3147 0.3147 0.8183
Ni1 Ni 0.6677 0.3323 0.0000
Te2 Te 0.9382 0.5625 0.8145
Te3 Te 0.5625 0.9382 0.8145
Te4 Te 0.6853 0.6853 0.1817
Te5 Te 0.4375 0.0618 0.1855
Pa1 Pa 0.0000 0.0000 0.0000
Tl1 Tl 0.8432 0.1568 0.5000
Te6 Te 0.0618 0.4375 0.1855
Tl2 Tl 0.1568 0.8432 0.5000
Tl3 Tl 0.5000 0.5000 0.5000
Ni2 Ni 0.3323 0.6677 0.0000
```

(4)
This record from Alexandria describes ScPaFeTc after structural relaxation. The functional is PBE-GGA.

The total magnetization comes out at 0.00 μB/f.u. The calculation puts the formation energy at -0.208 eV per atom. As for the density of states at the Fermi level: 2.979 states/eV/cell. The energy is -0.326 hartree per atom. Its space-group type is F-43m, No. 216.

Cell and atoms, written as CIF:
```
data_ScPaFeTc
_chemical_formula_sum 'Sc1 Pa1 Fe1 Tc1'
_symmetry_space_group_name_H-M 'P 1'
_symmetry_Int_Tables_number 1
_symmetry_space_group_name_Hall 'P 1'
_cell_length_a 4.6523
_cell_length_b 4.6523
_cell_length_c 4.6523
_cell_angle_alpha 60.00
_cell_angle_beta 60.00
_cell_angle_gamma 60.00
loop_
_atom_site_label
_atom_site_type_symbol
_atom_site_fract_x
_atom_site_fract_y
_atom_site_fract_z
Tc1 Tc 0.0000 0.0000 0.0000
Sc1 Sc 0.2500 0.2500 0.2500
Pa1 Pa 0.7500 0.7500 0.7500
Fe1 Fe 0.5000 0.5000 0.5000
```

(5)
This record from Alexandria describes Be2SiBr after structural relaxation. The functional is PBE-GGA.

The total magnetization comes out at 0.00 μB/f.u. As for the density of states at the Fermi level: 1.003 states/eV/cell. The energy is -0.112 hartree per atom. The uncorrected formation energy is 0.588 eV per atom. Its space-group type is Pmmm, No. 47.

Cell and atoms, written as CIF:
```
data_Be2SiBr
_chemical_formula_sum 'Be2 Si1 Br1'
_symmetry_space_group_name_H-M 'P 1'
_symmetry_Int_Tables_number 1
_symmetry_space_group_name_Hall 'P 1'
_cell_length_a 2.5926
_cell_length_b 3.4591
_cell_length_c 7.5216
_cell_angle_alpha 90.00
_cell_angle_beta 90.00
_cell_angle_gamma 90.00
loop_
_atom_site_label
_atom_site_type_symbol
_atom_site_fract_x
_atom_site_fract_y
_atom_site_fract_z
Si1 Si 0.5000 0.5000 0.7500
Be1 Be 0.0000 0.0000 0.6038
Br1 Br 0.5000 0.5000 0.2500
Be2 Be 0.0000 0.0000 0.8962
```

(6)
This record from Alexandria describes Cd3Cu after structural relaxation. The functional is PBE-GGA.

The total magnetization comes out at 0.00 μB/f.u. The calculation puts the formation energy at 0.098 eV per atom. As for the density of states at the Fermi level: 1.768 states/eV/cell. The energy is -0.059 hartree per atom. Its space-group type is Pm-3m, No. 221.

Cell and atoms, written as CIF:
```
data_Cd3Cu
_chemical_formula_sum 'Cd3 Cu1'
_symmetry_space_group_name_H-M 'P 1'
_symmetry_Int_Tables_number 1
_symmetry_space_group_name_Hall 'P 1'
_cell_length_a 4.2672
_cell_length_b 4.2672
_cell_length_c 4.2672
_cell_angle_alpha 90.00
_cell_angle_beta 90.00
_cell_angle_gamma 90.00
loop_
_atom_site_label
_atom_site_type_symbol
_atom_site_fract_x
_atom_site_fract_y
_atom_site_fract_z
Cd1 Cd 0.0000 0.0000 0.0000
Cu1 Cu 0.5000 0.5000 0.0000
Cd2 Cd 0.0000 0.5000 0.5000
Cd3 Cd 0.5000 0.0000 0.5000
```

(7)
This record from Alexandria describes PaPdPb after structural relaxation. The functional is PBE-GGA.

The total magnetization comes out at 0.00 μB/f.u. The calculation puts the formation energy at -0.114 eV per atom. As for the density of states at the Fermi level: 11.958 states/eV/cell. The energy is -0.230 hartree per atom. Its space-group type is Pnma, No. 62.

Cell and atoms, written as CIF:
```
data_PaPdPb
_chemical_formula_sum 'Pa4 Pd4 Pb4'
_symmetry_space_group_name_H-M 'P 1'
_symmetry_Int_Tables_number 1
_symmetry_space_group_name_Hall 'P 1'
_cell_length_a 3.9055
_cell_length_b 7.8316
_cell_length_c 9.5818
_cell_angle_alpha 90.00
_cell_angle_beta 90.00
_cell_angle_gamma 90.00
loop_
_atom_site_label
_atom_site_type_symbol
_atom_site_fract_x
_atom_site_fract_y
_atom_site_fract_z
Pa1 Pa 0.2500 0.9963 0.6003
Pd1 Pd 0.7500 0.7265 0.6556
Pd2 Pd 0.7500 0.7735 0.1556
Pb1 Pb 0.2500 0.8493 0.9107
Pa2 Pa 0.7500 0.0037 0.3997
Pd3 Pd 0.2500 0.2735 0.3444
Pa3 Pa 0.2500 0.5037 0.1003
Pb2 Pb 0.7500 0.3493 0.5893
Pd4 Pd 0.2500 0.2265 0.8444
Pb3 Pb 0.2500 0.6507 0.4107
Pa4 Pa 0.7500 0.4963 0.8997
Pb4 Pb 0.7500 0.1507 0.0893
```

(8)
This record from Alexandria describes LiTm2Cd5 after structural relaxation. The functional is PBE-GGA.

The total magnetization comes out at 0.00 μB/f.u. The calculation puts the formation energy at -0.236 eV per atom. As for the density of states at the Fermi level: 4.016 states/eV/cell. The energy is -0.080 hartree per atom. Its space-group type is I4/mmm, No. 139.

Cell and atoms, written as CIF:
```
data_LiTm2Cd5
_chemical_formula_sum 'Li1 Tm2 Cd5'
_symmetry_space_group_name_H-M 'P 1'
_symmetry_Int_Tables_number 1
_symmetry_space_group_name_Hall 'P 1'
_cell_length_a 4.8384
_cell_length_b 4.8384
_cell_length_c 8.4850
_cell_angle_alpha 106.57
_cell_angle_beta 106.57
_cell_angle_gamma 90.00
loop_
_atom_site_label
_atom_site_type_symbol
_atom_site_fract_x
_atom_site_fract_y
_atom_site_fract_z
Cd1 Cd 0.6145 0.1145 0.2291
Cd2 Cd 0.5000 0.5000 0.0000
Tm1 Tm 0.2560 0.2560 0.5119
Cd3 Cd 0.1145 0.6145 0.2291
Cd4 Cd 0.8855 0.3855 0.7709
Cd5 Cd 0.3855 0.8855 0.7709
Li1 Li 0.0000 0.0000 0.0000
Tm2 Tm 0.7440 0.7440 0.4881
```